Entry 1:
VASP calculation (PBE-GGA) on a relaxed structure of NaSe2BrCl.

```
data_NaSe2BrCl
_chemical_formula_sum 'Na1 Se2 Br1 Cl1'
_cell_length_a 5.786
_cell_length_b 5.786
_cell_length_c 5.256
_cell_angle_alpha 90.00
_cell_angle_beta 90.00
_cell_angle_gamma 90.00
_space_group_name_H-M_alt 'P 1'
_space_group_IT_number 1
_space_group_name_Hall 'P 1'
loop_
_atom_site_label
_atom_site_fract_x
_atom_site_fract_y
_atom_site_fract_z
_atom_site_occupancy
Br1 0.000 0.000 0.500 1
Se1 0.500 0.000 0.000 1
Na1 0.000 0.000 0.000 1
Se2 0.000 0.500 0.000 1
Cl1 0.500 0.500 0.500 1
```

## Properties
ΔE to the lowest computed polymorph, kJ per mole of atoms: 36.2
Formation energy from raw total energies, eV/atom: 0.4643
Space group: No. 123

***

Entry 2:
VASP calculation (PBE-GGA) on a relaxed structure of SiHg5.

```
data_SiHg5
_chemical_formula_sum 'Si1 Hg5'
_cell_length_a 5.390
_cell_length_b 5.390
_cell_length_c 8.729
_cell_angle_alpha 79.19
_cell_angle_beta 79.19
_cell_angle_gamma 37.50
_space_group_name_H-M_alt 'P 1'
_space_group_IT_number 1
_space_group_name_Hall 'P 1'
loop_
_atom_site_label
_atom_site_fract_x
_atom_site_fract_y
_atom_site_fract_z
_atom_site_occupancy
Si1 0.201 0.201 0.973 1
Hg1 0.020 0.020 0.565 1
Hg2 0.934 0.934 0.974 1
Hg3 0.332 0.332 0.378 1
Hg4 0.720 0.720 0.714 1
Hg5 0.625 0.625 0.229 1
```

## Properties
ΔE to the lowest computed polymorph, kJ per mole of atoms: 5.2
Formation energy from raw total energies, eV/atom: 0.2177
Space group: No. 8

***

Entry 3:
VASP calculation (PBE-GGA) on a relaxed structure of CaScTlCu.

```
data_CaScTlCu
_chemical_formula_sum 'Ca1 Sc1 Tl1 Cu1'
_cell_length_a 5.066
_cell_length_b 5.066
_cell_length_c 5.066
_cell_angle_alpha 60.00
_cell_angle_beta 60.00
_cell_angle_gamma 60.00
_space_group_name_H-M_alt 'P 1'
_space_group_IT_number 1
_space_group_name_Hall 'P 1'
loop_
_atom_site_label
_atom_site_fract_x
_atom_site_fract_y
_atom_site_fract_z
_atom_site_occupancy
Cu1 0.000 0.000 0.000 1
Tl1 0.500 0.500 0.500 1
Ca1 0.750 0.750 0.750 1
Sc1 0.250 0.250 0.250 1
```

## Properties
Calculated formation energy, eV per atom: -0.169
Space group: No. 216

***

Entry 4:
VASP calculation (PBE-GGA) on a relaxed structure of PrHo9Er2.

```
data_PrHo9Er2
_chemical_formula_sum 'Pr1 Ho9 Er2'
_cell_length_a 5.002
_cell_length_b 5.002
_cell_length_c 15.008
_cell_angle_alpha 90.00
_cell_angle_beta 90.00
_cell_angle_gamma 90.00
_space_group_name_H-M_alt 'P 1'
_space_group_IT_number 1
_space_group_name_Hall 'P 1'
loop_
_atom_site_label
_atom_site_fract_x
_atom_site_fract_y
_atom_site_fract_z
_atom_site_occupancy
Ho1 0.500 0.500 0.000 1
Ho2 0.000 0.500 0.830 1
Ho3 0.500 0.000 0.170 1
Ho4 0.500 0.500 0.336 1
Ho5 0.500 0.500 0.664 1
Er1 0.000 0.000 0.665 1
Ho6 0.000 0.500 0.170 1
Ho7 0.500 0.000 0.500 1
Ho8 0.000 0.500 0.500 1
Er2 0.000 0.000 0.335 1
Pr1 0.000 0.000 0.000 1
Ho9 0.500 0.000 0.830 1
```

## Properties
Calculated formation energy, eV per atom: 0.024
ΔE to the lowest computed polymorph, kJ per mole of atoms: 0.0
Space group: No. 123

***

Number 1: size of the total moment 1.01 μB/atom. Number 2: size of the total moment 0.00 μB/atom. Number 3: size of the total moment 0.00 μB/atom. Number 4: size of the total moment 0.00 μB/atom.